--- 1 ---
# Pr6YTl2 (PBE, relaxed)
# SG: C2/m
# Magnetization, μB/atom: 0.000
data_Pr6YTl2
_chemical_formula_sum 'Pr6 Y1 Tl2'
_symmetry_space_group_name_H-M 'P 1'
_symmetry_Int_Tables_number 1
_cell_length_a 3.862
_cell_length_b 6.931
_cell_length_c 12.186
_cell_angle_alpha 74.38
_cell_angle_beta 80.88
_cell_angle_gamma 73.82
loop_
_symmetry_equiv_pos_as_xyz
'x,y,z'
loop_
_atom_site_label
_atom_site_fract_x
_atom_site_fract_y
_atom_site_fract_z
Tl1 0.364 0.080 0.193
Tl2 0.636 0.920 0.807
Y1 0.000 0.000 0.000
Pr1 0.018 0.307 0.657
Pr2 0.682 0.513 0.124
Pr3 0.306 0.796 0.593
Pr4 0.694 0.204 0.407
Pr5 0.318 0.487 0.876
Pr6 0.982 0.693 0.343

---

--- 2 ---
# Pr6YTl2 (PBE, relaxed)
# SG: C2/c
# Magnetization, μB/atom: 0.000
data_Pr6YTl2
_chemical_formula_sum 'Pr12 Y2 Tl4'
_symmetry_space_group_name_H-M 'P 1'
_symmetry_Int_Tables_number 1
_cell_length_a 6.067
_cell_length_b 10.101
_cell_length_c 10.101
_cell_angle_alpha 72.38
_cell_angle_beta 82.71
_cell_angle_gamma 82.71
loop_
_symmetry_equiv_pos_as_xyz
'x,y,z'
loop_
_atom_site_label
_atom_site_fract_x
_atom_site_fract_y
_atom_site_fract_z
Pr1 0.699 0.226 0.003
Pr2 0.167 0.361 0.115
Pr3 0.464 0.671 0.446
Pr4 0.333 0.885 0.639
Pr5 0.199 0.003 0.226
Pr6 0.536 0.329 0.554
Pr7 0.801 0.997 0.774
Pr8 0.833 0.639 0.885
Pr9 0.667 0.115 0.361
Pr10 0.301 0.774 0.997
Pr11 0.036 0.554 0.329
Pr12 0.964 0.446 0.671
Tl1 0.400 0.517 0.794
Tl2 0.600 0.483 0.206
Tl3 0.900 0.794 0.517
Tl4 0.100 0.206 0.483
Y1 0.250 0.145 0.855
Y2 0.750 0.855 0.145

---

The most stable arrangement is 1, and the next structure is 36 meV per atom less stable.